Computed, not measured: a relaxed structure of Ba9Nb10O30 at the PBE-GGA level of DFT.

Summary:
* M_tot: 0.0 μB/cell
* VASP energy: -402.543 eV per formula unit

a b c (Å): 9.2441 9.2471 9.2476
angles (deg): 66.42 78.47 89.99
Last column: nearest neighbours and their distance in Å.
Space group P-1 (No. 2)
Inequivalent atoms, fractional coordinates:
1 Ba 0.0000 0.0000 0.0000  12 O 2.88-2.93
2 Ba 0.1056 0.1975 0.4999  12 O 2.88-2.96
3 Ba 0.1999 0.3989 0.9999  12 O 2.88-2.93
4 Ba 0.3026 0.6054 0.4994  12 O 2.88-2.96
5 Ba 0.4017 0.8019 0.9939  12 O 2.89-2.97
6 Nb 0.0503 0.6000 0.2499  6 O 2.06-2.07
7 Nb 0.1540 0.8030 0.7462  6 O 2.04-2.10
8 Nb 0.2526 0.0003 0.2524  6 O 2.05-2.09
9 Nb 0.3524 0.1979 0.7473  6 O 2.04-2.10
10 Nb 0.4511 0.3961 0.2526  6 O 2.05-2.09
11 O 0.0000 0.5000 0.5000  2 Nb 2.07
12 O 0.0498 0.0998 0.2502  2 Nb 2.09
13 O 0.0499 0.6002 0.7496  2 Nb 2.07-2.09
14 O 0.1002 0.7002 0.9999  2 Nb 2.07-2.10
15 O 0.1499 0.3002 0.7499  2 Nb 2.07-2.10
16 O 0.1498 0.8000 0.2501  2 Nb 2.07-2.09
17 O 0.1953 0.8989 0.4997  2 Nb 2.04-2.05
18 O 0.2466 0.0003 0.7533  2 Nb 2.05
19 O 0.2499 0.5001 0.2500  2 Nb 2.06-2.09
20 O 0.3001 0.1001 0.9999  2 Nb 2.09
21 O 0.3475 0.6955 0.7535  2 Nb 2.05
22 O 0.3477 0.2033 0.2462  2 Nb 2.05
23 O 0.3989 0.3052 0.5000  2 Nb 2.05
24 O 0.4490 0.8986 0.2460  2 Nb 2.04-2.05
25 O 0.4500 0.4000 0.7500  2 Nb 2.08-2.09
26 O 0.5000 0.5000 0.0000  2 Nb 2.09


Computed, not measured: a relaxed structure of MgFePtAu at the PBE-GGA level of DFT.

Summary:
* M_tot: 12.7 μB/cell
* VASP energy: -20.540 eV per formula unit

a b c (Å): 6.3266 6.3266 6.3266
angles (deg): 90.00 90.00 90.00
Last column: nearest neighbours and their distance in Å.
Space group F-43m (No. 216)
Inequivalent atoms, fractional coordinates:
1 Mg 0.0000 0.0000 0.0000  4 Pt 2.74, 4 Au 2.74
2 Fe 0.0000 0.0000 0.5000  4 Pt 2.74, 4 Au 2.74
3 Pt 0.2500 0.2500 0.7500  4 Fe 2.74, 4 Mg 2.74
4 Au 0.2500 0.2500 0.2500  4 Fe 2.74, 4 Mg 2.74